A plane-wave DFT calculation with GGA-PBEsol was carried out for LiTcAu after structural relaxation.

a = 4.7453 Å, b = 4.7453 Å, c = 4.7453 Å
α = 148.29°, β = 129.19°, γ = 61.15°
Positions (direct):
Li 0.0000 0.0000 0.0000
Tc 0.6695 0.6695 0.0000
Au 0.3384 0.3384 0.0000

## Properties
relative energy among the computed polymorphs	96	meV/atom
SG	Imm2 (44)
ΔE_f	0.309	eV/atom